# LaTm5Sb6

Crystalline LaTm5Sb6 at its relaxed geometry (PBE-GGA, the Alexandria database).

a b c (Å): 7.604 7.604 7.604
angles (deg): 99.63 99.63 120.02
Fractional coordinates of all 12 atoms:
La 0.000 0.000 0.000
Tm 0.163 0.837 0.500
Tm 0.332 0.668 0.000
Tm 0.500 0.500 0.500
Tm 0.668 0.332 0.000
Tm 0.837 0.163 0.500
Sb 0.086 0.429 0.257
Sb 0.259 0.259 0.747
Sb 0.429 0.086 0.257
Sb 0.571 0.914 0.743
Sb 0.741 0.741 0.253
Sb 0.914 0.571 0.743

## Properties
Energy relative to the elements, uncorrected (eV/atom): -1.0923
D(E_F) (states/eV/atom): 0.1557